! Pr2Y | the Alexandria database | PBE | relaxed; values from VASP
&SYSTEM
  ibrav = 0, nat = 6, ntyp = 2
/
ATOMIC_SPECIES
Pr 140.91 Pr.upf
Y 88.91 Y.upf
CELL_PARAMETERS angstrom
3.7135 0.0000 0.0000
0.0000 8.6913 0.9639
-1.8568 -2.3407 6.3003
ATOMIC_POSITIONS crystal
Pr 0.9705 0.7000 0.9411
Pr 0.0295 0.3000 0.0589
Pr 0.3064 0.3590 0.6128
Y 0.6395 0.0246 0.2791
Pr 0.6936 0.6410 0.3872
Y 0.3605 0.9754 0.7209
! Magnetic moment in μB per atom: 0.000

=====

! Mn6Zn | the Alexandria database | PBE | relaxed; values from VASP
&SYSTEM
  ibrav = 0, nat = 7, ntyp = 2
/
ATOMIC_SPECIES
Mn 54.94 Mn.upf
Zn 65.41 Zn.upf
CELL_PARAMETERS angstrom
5.2145 0.0000 0.0000
-1.7382 4.9163 0.0000
-1.7382 -2.4581 4.2576
ATOMIC_POSITIONS crystal
Mn 0.5000 0.2500 0.7500
Mn 0.2500 0.5000 0.7500
Mn 0.2500 0.7500 0.5000
Mn 0.7500 0.5000 0.2500
Zn 0.0000 0.0000 0.0000
Mn 0.7500 0.2500 0.5000
Mn 0.5000 0.7500 0.2500
! Magnetic moment in μB per atom: 0.000

=====

! LiZnCuAu2 | the Alexandria database | PBE | relaxed; values from VASP
&SYSTEM
  ibrav = 0, nat = 10, ntyp = 4
/
ATOMIC_SPECIES
Cu 63.55 Cu.upf
Li 6.94 Li.upf
Au 196.97 Au.upf
Zn 65.41 Zn.upf
CELL_PARAMETERS angstrom
4.0731 0.0000 0.0000
0.0000 6.4167 1.0331
0.0000 -1.5418 5.5919
ATOMIC_POSITIONS crystal
Cu 0.2500 0.9504 0.8565
Li 0.2500 0.5634 0.6560
Au 0.2500 0.1622 0.4663
Au 0.7500 0.6527 0.9509
Cu 0.7500 0.0496 0.1435
Zn 0.7500 0.2378 0.7637
Au 0.7500 0.8378 0.5337
Au 0.2500 0.3473 0.0491
Zn 0.2500 0.7622 0.2363
Li 0.7500 0.4366 0.3440
! Magnetic moment in μB per atom: 0.000

=====

! CePmAu | the Alexandria database | PBE | relaxed; values from VASP
&SYSTEM
  ibrav = 0, nat = 3, ntyp = 3
/
ATOMIC_SPECIES
Au 196.97 Au.upf
Ce 140.12 Ce.upf
Pm 145.00 Pm.upf
CELL_PARAMETERS angstrom
3.7118 0.0000 0.0000
0.0000 4.9244 0.0000
0.0000 -2.4622 4.2647
ATOMIC_POSITIONS crystal
Au 0.3275 0.3333 0.6667
Ce 0.0170 0.0000 0.0000
Pm 0.6555 0.6667 0.3333
! Magnetic moment in μB per atom: 0.163

=====

One value per record, in order, for DFT formation energy: 0.03, 1.20, -0.28, -0.29 eV per atom.